Version a
# ThAsP

ThAsP after structural relaxation (GGA-PBE, Alexandria).

a = 8.9058 Å, b = 8.9058 Å, c = 8.9058 Å
α = 153.76°, β = 153.76°, γ = 37.45°
With the nearest neighbours (Å) after each atom.
Positions (direct):
Th 0.1460 0.1460 0.0000  5 P 2.91-2.92, 4 As 3.19
Th 0.8540 0.8540 0.0000  5 P 2.91-2.92, 4 As 3.19
As 0.0000 0.5000 0.5000  4 As 2.86, 4 Th 3.19
As 0.5000 0.0000 0.5000  4 As 2.86, 4 Th 3.19
P 0.3184 0.3184 0.0000  5 Th 2.91-2.92
P 0.6816 0.6816 0.0000  5 Th 2.91-2.92

Results
Crystal system: tetragonal
SG: I4/mmm, No. 139

Version b
# ThAsP

ThAsP after structural relaxation (GGA-PBE, Alexandria).

a = 4.4152 Å, b = 4.4152 Å, c = 3.8129 Å
α = 90.00°, β = 90.00°, γ = 120.00°
With the nearest neighbours (Å) after each atom.
Positions (direct):
Th 0.0000 0.0000 0.0000  6 As 3.18, 6 P 3.18
As 0.6667 0.3333 0.5000  3 P 2.55
P 0.3333 0.6667 0.5000  3 As 2.55

Results
Crystal system: hexagonal
SG: P-6m2, No. 187

How do the structures above rank in stability at the extremes? version a comes first and version b comes last.